First-principles (PBE) data for crystalline Sm2Er3TmSe6 at its relaxed geometry, as listed in Alexandria via LeMat-Bulk.

```
Sm2Er3TmSe6
1.0
4.057 0.000 0.000
0.000 8.208 0.275
-2.028 -2.387 8.573
Er Se Sm Tm
3 6 2 1
Cartesian
2.028 -0.204 5.690
2.028 4.104 0.137
0.000 6.025 3.158
0.000 1.752 5.900
0.000 6.169 0.267
2.028 4.069 2.948
2.028 -0.180 2.833
0.000 6.002 6.015
2.028 -0.348 8.581
2.028 3.863 5.854
0.000 1.958 2.994
2.028 0.000 0.000
```

Output
* total magnetic moment: 0.00 μB/atom
* space group: C2/m (12)
* raw total energy: -5.77 eV per atom
* uncorrected formation energy: -1730 meV/atom
* mass density: 8.33 g cm⁻³

First-principles (PBE) data for crystalline SmEr3Tm2Se6 at its relaxed geometry, as listed in Alexandria via LeMat-Bulk.

```
SmEr3Tm2Se6
1.0
-1.899 3.216 -1.525
-5.693 -4.880 -3.203
-2.284 0.273 8.752
Se Er Tm Sm
6 3 2 1
Cartesian
-5.354 -0.602 0.059
-7.318 -3.218 2.324
-2.558 1.826 1.700
-4.522 -0.789 3.964
-8.386 -0.130 4.830
-1.489 -1.262 -0.807
-5.800 -3.461 -0.077
-3.796 -0.832 -2.364
-4.076 2.069 4.101
-6.936 -0.402 2.452
-2.939 -0.990 1.571
-0.949 1.608 -0.763
```

Output
* total magnetic moment: 0.00 μB/atom
* space group: C2/m (12)
* raw total energy: -5.72 eV per atom
* uncorrected formation energy: -1702 meV/atom
* mass density: 8.60 g cm⁻³

First-principles (PBE) data for crystalline SmYEr2Se4 at its relaxed geometry, as listed in Alexandria via LeMat-Bulk.

```
SmYEr2Se4
1.0
-2.578 -0.250 3.082
-1.250 -6.874 -1.602
4.599 -4.020 3.522
Se Er Sm Y
4 2 1 1
Cartesian
1.855 -4.802 3.792
-1.696 -2.929 3.603
2.468 -8.215 1.399
-1.083 -6.342 1.210
4.599 -4.020 3.522
1.011 -2.135 3.302
2.685 -7.582 4.262
1.675 -5.447 0.960
```

Output
* total magnetic moment: 0.00 μB/atom
* space group: P2/m (10)
* raw total energy: -6.02 eV per atom
* uncorrected formation energy: -1742 meV/atom
* mass density: 7.67 g cm⁻³

First-principles (PBE) data for crystalline Sm2YErSe5 at its relaxed geometry, as listed in Alexandria via LeMat-Bulk.

```
Sm2YErSe5
1.0
5.109 0.000 0.000
0.000 5.109 0.000
0.000 0.000 10.704
Se Er Sm Y
5 1 2 1
Cartesian
2.555 0.000 5.352
2.555 2.555 0.000
0.000 0.000 8.065
0.000 2.555 5.352
0.000 0.000 2.639
0.000 0.000 5.352
2.555 2.555 3.514
2.555 2.555 7.190
0.000 0.000 0.000
```

Output
* total magnetic moment: 0.00 μB/atom
* space group: P4/mmm (123)
* raw total energy: -5.45 eV per atom
* uncorrected formation energy: -1237 meV/atom
* mass density: 5.66 g cm⁻³

Q: mass density of number 1 (Sm2Er3TmSe6)?
A: 8.33 g cm⁻³

Q: uncorrected formation energy of number 3 (SmYEr2Se4)?
A: -1742 meV/atom